[1]
# LiCuP, relaxed, DFT PBE
data_LiCuP
_cell_length_a 10.893
_cell_length_b 3.722
_cell_length_c 6.158
_cell_angle_alpha 90.00
_cell_angle_beta 90.00
_cell_angle_gamma 90.00
_symmetry_space_group_name_H-M 'P m m a'
_symmetry_Int_Tables_number 51
loop_
_symmetry_equiv_pos_as_xyz
'x,y,z'
'-x,-y,-z'
'-x+1/2,-y,z'
'x+1/2,y,-z'
'x+1/2,-y,-z'
'-x+1/2,y,z'
'-x,y,-z'
'x,-y,z'
loop_
_atom_site_label
_atom_site_type_symbol
_atom_site_fract_x
_atom_site_fract_y
_atom_site_fract_z
Li1 Li 0.047 0.000 0.235
Li2 Li 0.250 0.000 0.854
Cu1 Cu 0.127 0.500 0.571
Cu2 Cu 0.250 0.500 0.194
P1 P 0.091 0.500 0.935
P2 P 0.250 0.000 0.442
# - formation enthalpy at 0 K (eV/f.u.) = -1.061

---

[2]
# Li3CuP, relaxed, DFT PBE
data_Li3CuP
_cell_length_a 4.419
_cell_length_b 4.419
_cell_length_c 4.419
_cell_angle_alpha 90.00
_cell_angle_beta 90.00
_cell_angle_gamma 90.00
_symmetry_space_group_name_H-M 'P m -3 m'
_symmetry_Int_Tables_number 221
_symmetry_space_group_name_Hall '-P 4 2 3'
loop_
_atom_site_label
_atom_site_type_symbol
_atom_site_fract_x
_atom_site_fract_y
_atom_site_fract_z
Li1 Li 0.000 0.000 0.500
Cu1 Cu 0.000 0.000 0.000
P1 P 0.500 0.500 0.500
# - formation enthalpy at 0 K (eV/f.u.) = 1.277

---

[3]
# LiCu4P3, relaxed, DFT PBE
data_LiCu4P3
_cell_length_a 3.906
_cell_length_b 3.906
_cell_length_c 7.466
_cell_angle_alpha 90.00
_cell_angle_beta 90.00
_cell_angle_gamma 90.00
_symmetry_space_group_name_H-M 'P 4/m m m'
_symmetry_Int_Tables_number 123
_symmetry_space_group_name_Hall '-P 4 2'
loop_
_atom_site_label
_atom_site_type_symbol
_atom_site_fract_x
_atom_site_fract_y
_atom_site_fract_z
Li1 Li 0.000 0.000 0.000
Cu1 Cu 0.000 0.500 0.312
P1 P 0.000 0.000 0.500
P2 P 0.500 0.500 0.144
# - formation enthalpy at 0 K (eV/f.u.) = -1.756

---

[4]
# LiCu2P2, relaxed, DFT PBE
data_LiCu2P2
_cell_length_a 4.338
_cell_length_b 4.338
_cell_length_c 8.534
_cell_angle_alpha 90.00
_cell_angle_beta 90.00
_cell_angle_gamma 90.00
_symmetry_space_group_name_H-M 'I 4/m m m'
_symmetry_Int_Tables_number 139
_symmetry_space_group_name_Hall '-I 4 2'
loop_
_atom_site_label
_atom_site_type_symbol
_atom_site_fract_x
_atom_site_fract_y
_atom_site_fract_z
Li1 Li 0.000 0.000 0.000
Cu1 Cu 0.000 0.000 0.352
P1 P 0.000 0.500 0.250
# - formation enthalpy at 0 K (eV/f.u.) = 0.093

---

[5]
# LiCu2P2, relaxed, DFT PBE
data_LiCu2P2
_cell_length_a 7.190
_cell_length_b 7.190
_cell_length_c 2.688
_cell_angle_alpha 90.00
_cell_angle_beta 90.00
_cell_angle_gamma 90.00
_symmetry_space_group_name_H-M 'P 4/m b m'
_symmetry_Int_Tables_number 127
_symmetry_space_group_name_Hall '-P 4 2ab'
loop_
_atom_site_label
_atom_site_type_symbol
_atom_site_fract_x
_atom_site_fract_y
_atom_site_fract_z
Li1 Li 0.000 0.000 0.000
Cu1 Cu 0.130 0.370 0.000
P1 P 0.169 0.669 0.500
# - formation enthalpy at 0 K (eV/f.u.) = -0.199

---

[6]
# LiCuPPd, relaxed, DFT PBE
data_LiCuPPd
_cell_length_a 5.889
_cell_length_b 5.889
_cell_length_c 5.889
_cell_angle_alpha 90.00
_cell_angle_beta 90.00
_cell_angle_gamma 90.00
_symmetry_space_group_name_H-M 'F -4 3 m'
_symmetry_Int_Tables_number 216
_symmetry_space_group_name_Hall 'F -4 2 3'
loop_
_atom_site_label
_atom_site_type_symbol
_atom_site_fract_x
_atom_site_fract_y
_atom_site_fract_z
Li1 Li 0.000 0.000 0.000
Cu1 Cu 0.250 0.250 0.750
P1 P 0.000 0.000 0.500
Pd1 Pd 0.250 0.250 0.250
# - formation enthalpy at 0 K (eV/f.u.) = -1.428

---

[7]
# Li2CuP2Pd5, relaxed, DFT PBE
data_Li2CuP2Pd5
_cell_length_a 9.480
_cell_length_b 9.480
_cell_length_c 3.353
_cell_angle_alpha 90.00
_cell_angle_beta 90.00
_cell_angle_gamma 90.00
_symmetry_space_group_name_H-M 'P 4/m b m'
_symmetry_Int_Tables_number 127
_symmetry_space_group_name_Hall '-P 4 2ab'
loop_
_atom_site_label
_atom_site_type_symbol
_atom_site_fract_x
_atom_site_fract_y
_atom_site_fract_z
Li1 Li 0.169 0.331 0.000
Cu1 Cu 0.000 0.000 0.000
P1 P 0.133 0.633 0.000
Pd1 Pd 0.000 0.500 0.500
Pd2 Pd 0.076 0.799 0.500
# - formation enthalpy at 0 K (eV/f.u.) = -4.686

---

[8]
# LiPmCu2P2, relaxed, DFT PBE
data_LiPmCu2P2
_cell_length_a 4.0206
_cell_length_b 4.0206
_cell_length_c 6.7112
_cell_angle_alpha 90.00
_cell_angle_beta 90.00
_cell_angle_gamma 120.00
_symmetry_space_group_name_H-M 'P -3 m 1'
_symmetry_Int_Tables_number 164
_symmetry_space_group_name_Hall '-P 3 2"'
loop_
_atom_site_label
_atom_site_type_symbol
_atom_site_fract_x
_atom_site_fract_y
_atom_site_fract_z
Li1 Li 0.0000 0.0000 0.0000
Pm1 Pm 0.0000 0.0000 0.5000
Cu1 Cu 0.3333 0.6667 0.1642
P1 P 0.3333 0.6667 0.7691
# - formation enthalpy at 0 K (eV/f.u.) = -4.813

---

[9]
# LiPmCuP, relaxed, DFT PBE
data_LiPmCuP
_cell_length_a 6.699
_cell_length_b 6.699
_cell_length_c 6.699
_cell_angle_alpha 90.00
_cell_angle_beta 90.00
_cell_angle_gamma 90.00
_symmetry_space_group_name_H-M 'F -4 3 m'
_symmetry_Int_Tables_number 216
_symmetry_space_group_name_Hall 'F -4 2 3'
loop_
_atom_site_label
_atom_site_type_symbol
_atom_site_fract_x
_atom_site_fract_y
_atom_site_fract_z
Li1 Li 0.000 0.000 0.000
Pm1 Pm 0.000 0.000 0.500
Cu1 Cu 0.250 0.250 0.250
P1 P 0.250 0.250 0.750
# - formation enthalpy at 0 K (eV/f.u.) = -2.026

---

[10]
# Li2PrCu2P2, relaxed, DFT PBE
data_Li2PrCu2P2
_cell_length_a 4.0173
_cell_length_b 4.0173
_cell_length_c 23.5464
_cell_angle_alpha 90.00
_cell_angle_beta 90.00
_cell_angle_gamma 120.00
_symmetry_space_group_name_H-M 'R -3 m'
_symmetry_Int_Tables_number 166
_symmetry_space_group_name_Hall '-R 3 2"'
loop_
_atom_site_label
_atom_site_type_symbol
_atom_site_fract_x
_atom_site_fract_y
_atom_site_fract_z
Li1 Li 0.0000 0.0000 0.1420
Pr1 Pr 0.0000 0.0000 0.0000
Cu1 Cu 0.0000 0.0000 0.4275
P1 P 0.0000 0.0000 0.2497
# - formation enthalpy at 0 K (eV/f.u.) = -5.366

---

[11]
# LiCuPPt, relaxed, DFT PBE
data_LiCuPPt
_cell_length_a 5.976
_cell_length_b 5.976
_cell_length_c 5.976
_cell_angle_alpha 90.00
_cell_angle_beta 90.00
_cell_angle_gamma 90.00
_symmetry_space_group_name_H-M 'F -4 3 m'
_symmetry_Int_Tables_number 216
_symmetry_space_group_name_Hall 'F -4 2 3'
loop_
_atom_site_label
_atom_site_type_symbol
_atom_site_fract_x
_atom_site_fract_y
_atom_site_fract_z
Li1 Li 0.000 0.000 0.000
Cu1 Cu 0.250 0.250 0.250
P1 P 0.250 0.250 0.750
Pt1 Pt 0.000 0.000 0.500
# - formation enthalpy at 0 K (eV/f.u.) = -1.246

---

[12]
# RbLiCuP, relaxed, DFT PBE
data_RbLiCuP
_cell_length_a 7.214
_cell_length_b 4.166
_cell_length_c 6.484
_cell_angle_alpha 90.00
_cell_angle_beta 111.69
_cell_angle_gamma 90.00
_symmetry_space_group_name_H-M 'C 1 m 1'
_symmetry_Int_Tables_number 8
loop_
_symmetry_equiv_pos_as_xyz
'x,y,z'
'x,-y,z'
'x+1/2,y+1/2,z'
'x+1/2,-y+1/2,z'
loop_
_atom_site_label
_atom_site_type_symbol
_atom_site_fract_x
_atom_site_fract_y
_atom_site_fract_z
Rb1 Rb 0.000 0.000 0.000
Li1 Li 0.322 0.500 0.466
Cu1 Cu 0.187 0.000 0.560
P1 P 0.016 0.500 0.549
# - formation enthalpy at 0 K (eV/f.u.) = -1.466

---

[13]
# LiCuPRh, relaxed, DFT PBE
data_LiCuPRh
_cell_length_a 5.771
_cell_length_b 5.771
_cell_length_c 5.771
_cell_angle_alpha 90.00
_cell_angle_beta 90.00
_cell_angle_gamma 90.00
_symmetry_space_group_name_H-M 'F -4 3 m'
_symmetry_Int_Tables_number 216
_symmetry_space_group_name_Hall 'F -4 2 3'
loop_
_atom_site_label
_atom_site_type_symbol
_atom_site_fract_x
_atom_site_fract_y
_atom_site_fract_z
Li1 Li 0.000 0.000 0.000
Cu1 Cu 0.250 0.250 0.750
P1 P 0.000 0.000 0.500
Rh1 Rh 0.250 0.250 0.250
# - formation enthalpy at 0 K (eV/f.u.) = -1.286

---

[14]
# LiCuPS4, relaxed, DFT PBE
data_LiCuPS4
_cell_length_a 7.023
_cell_length_b 10.882
_cell_length_c 7.030
_cell_angle_alpha 90.00
_cell_angle_beta 90.00
_cell_angle_gamma 90.00
_symmetry_space_group_name_H-M 'C m c m'
_symmetry_Int_Tables_number 63
_symmetry_space_group_name_Hall '-C 2c 2'
loop_
_atom_site_label
_atom_site_type_symbol
_atom_site_fract_x
_atom_site_fract_y
_atom_site_fract_z
Li1 Li 0.000 0.000 0.000
Cu1 Cu 0.000 0.361 0.250
P1 P 0.000 0.355 0.750
S1 S 0.000 0.243 0.516
S2 S 0.223 0.482 0.750
# - ΔE_f (raw) (eV/atom) = -0.379

---

[15]
# LiCu2PS4, relaxed, DFT PBE
data_LiCu2PS4
_cell_length_a 5.454
_cell_length_b 5.454
_cell_length_c 9.809
_cell_angle_alpha 90.00
_cell_angle_beta 90.00
_cell_angle_gamma 90.00
_symmetry_space_group_name_H-M 'I -4 2 m'
_symmetry_Int_Tables_number 121
_symmetry_space_group_name_Hall 'I -4 2'
loop_
_atom_site_label
_atom_site_type_symbol
_atom_site_fract_x
_atom_site_fract_y
_atom_site_fract_z
Li1 Li 0.000 0.000 0.000
Cu1 Cu 0.000 0.500 0.250
P1 P 0.000 0.000 0.500
S1 S 0.220 0.220 0.624
# - ΔE_f (raw) (eV/atom) = -0.503

---

[16]
# Li2ScCu2P2, relaxed, DFT PBE
data_Li2ScCu2P2
_cell_length_a 3.9112
_cell_length_b 3.9112
_cell_length_c 22.0820
_cell_angle_alpha 90.00
_cell_angle_beta 90.00
_cell_angle_gamma 120.00
_symmetry_space_group_name_H-M 'R -3 m'
_symmetry_Int_Tables_number 166
_symmetry_space_group_name_Hall '-R 3 2"'
loop_
_atom_site_label
_atom_site_type_symbol
_atom_site_fract_x
_atom_site_fract_y
_atom_site_fract_z
Li1 Li 0.0000 0.0000 0.1417
Sc1 Sc 0.0000 0.0000 0.0000
Cu1 Cu 0.0000 0.0000 0.4218
P1 P 0.0000 0.0000 0.2580
# - formation enthalpy at 0 K (eV/f.u.) = -4.967

---

[17]
# LiCuP2Se6, relaxed, DFT PBE
data_LiCuP2Se6
_cell_length_a 13.476
_cell_length_b 12.988
_cell_length_c 6.461
_cell_angle_alpha 90.00
_cell_angle_beta 116.09
_cell_angle_gamma 90.00
_symmetry_space_group_name_H-M 'C 1 2/c 1'
_symmetry_Int_Tables_number 15
loop_
_symmetry_equiv_pos_as_xyz
'x,y,z'
'-x,-y,-z'
'-x,y,-z+1/2'
'x,-y,z+1/2'
'x+1/2,y+1/2,z'
'-x+1/2,-y+1/2,-z'
'-x+1/2,y+1/2,-z+1/2'
'x+1/2,-y+1/2,z+1/2'
loop_
_atom_site_label
_atom_site_type_symbol
_atom_site_fract_x
_atom_site_fract_y
_atom_site_fract_z
Li1 Li 0.000 0.201 0.250
Cu1 Cu 0.000 0.221 0.750
P1 P 0.222 0.415 0.237
Se1 Se 0.096 0.081 0.624
Se2 Se 0.146 0.261 0.119
Se3 Se 0.146 0.447 0.492
# - ΔE_f (raw) (eV/atom) = -0.183

---

[18]
# LiCuPSe4, relaxed, DFT PBE
data_LiCuPSe4
_cell_length_a 7.235
_cell_length_b 11.545
_cell_length_c 7.468
_cell_angle_alpha 90.00
_cell_angle_beta 90.00
_cell_angle_gamma 90.00
_symmetry_space_group_name_H-M 'C m c m'
_symmetry_Int_Tables_number 63
_symmetry_space_group_name_Hall '-C 2c 2'
loop_
_atom_site_label
_atom_site_type_symbol
_atom_site_fract_x
_atom_site_fract_y
_atom_site_fract_z
Li1 Li 0.000 0.000 0.000
Cu1 Cu 0.000 0.360 0.250
P1 P 0.000 0.355 0.750
Se1 Se 0.000 0.239 0.510
Se2 Se 0.233 0.487 0.750
# - ΔE_f (raw) (eV/atom) = -0.263

---

[19]
# Li2SmCu2P2, relaxed, DFT PBE
data_Li2SmCu2P2
_cell_length_a 3.9932
_cell_length_b 3.9932
_cell_length_c 23.1780
_cell_angle_alpha 90.00
_cell_angle_beta 90.00
_cell_angle_gamma 120.00
_symmetry_space_group_name_H-M 'R -3 m'
_symmetry_Int_Tables_number 166
_symmetry_space_group_name_Hall '-R 3 2"'
loop_
_atom_site_label
_atom_site_type_symbol
_atom_site_fract_x
_atom_site_fract_y
_atom_site_fract_z
Li1 Li 0.0000 0.0000 0.1422
Sm1 Sm 0.0000 0.0000 0.0000
Cu1 Cu 0.0000 0.0000 0.4265
P1 P 0.0000 0.0000 0.2517
# - formation enthalpy at 0 K (eV/f.u.) = -5.424

---

[20]
# LiCuSn2P, relaxed, DFT PBE
data_LiCuSn2P
_cell_length_a 5.056
_cell_length_b 5.056
_cell_length_c 4.177
_cell_angle_alpha 90.00
_cell_angle_beta 90.00
_cell_angle_gamma 90.00
_symmetry_space_group_name_H-M 'P 4/m m m'
_symmetry_Int_Tables_number 123
_symmetry_space_group_name_Hall '-P 4 2'
loop_
_atom_site_label
_atom_site_type_symbol
_atom_site_fract_x
_atom_site_fract_y
_atom_site_fract_z
Li1 Li 0.000 0.000 0.000
Cu1 Cu 0.500 0.500 0.500
Sn1 Sn 0.000 0.500 0.000
P1 P 0.000 0.000 0.500
# - formation enthalpy at 0 K (eV/f.u.) = 2.643

---

[21]
# SrLi2CuP, relaxed, DFT PBE
data_SrLi2CuP
_cell_length_a 4.724
_cell_length_b 4.724
_cell_length_c 4.550
_cell_angle_alpha 90.00
_cell_angle_beta 90.00
_cell_angle_gamma 90.00
_symmetry_space_group_name_H-M 'P 4/m m m'
_symmetry_Int_Tables_number 123
_symmetry_space_group_name_Hall '-P 4 2'
loop_
_atom_site_label
_atom_site_type_symbol
_atom_site_fract_x
_atom_site_fract_y
_atom_site_fract_z
Sr1 Sr 0.000 0.000 0.000
Li1 Li 0.000 0.500 0.500
Cu1 Cu 0.500 0.500 0.500
P1 P 0.500 0.500 0.000
# - formation enthalpy at 0 K (eV/f.u.) = -1.194

---

[22]
# Sr2LiCu3P4, relaxed, DFT PBE
data_Sr2LiCu3P4
_cell_length_a 4.211
_cell_length_b 4.211
_cell_length_c 9.794
_cell_angle_alpha 90.00
_cell_angle_beta 90.00
_cell_angle_gamma 90.00
_symmetry_space_group_name_H-M 'P -4 m 2'
_symmetry_Int_Tables_number 115
loop_
_symmetry_equiv_pos_as_xyz
'x,y,z'
'y,-x,-z'
'-x,-y,z'
'-y,x,-z'
'-x,y,z'
'-y,-x,-z'
'x,-y,z'
'y,x,-z'
loop_
_atom_site_label
_atom_site_type_symbol
_atom_site_fract_x
_atom_site_fract_y
_atom_site_fract_z
Sr1 Sr 0.000 0.500 0.249
Li1 Li 0.500 0.500 0.000
Cu1 Cu 0.000 0.000 0.000
Cu2 Cu 0.000 0.500 0.619
P1 P 0.000 0.000 0.500
P2 P 0.000 0.500 0.864
P3 P 0.500 0.500 0.500
# - formation enthalpy at 0 K (eV/f.u.) = -6.111

---

[23]
# LiCuTc2P, relaxed, DFT PBE
data_LiCuTc2P
_cell_length_a 4.725
_cell_length_b 4.725
_cell_length_c 4.123
_cell_angle_alpha 90.00
_cell_angle_beta 90.00
_cell_angle_gamma 90.00
_symmetry_space_group_name_H-M 'P 4/m m m'
_symmetry_Int_Tables_number 123
_symmetry_space_group_name_Hall '-P 4 2'
loop_
_atom_site_label
_atom_site_type_symbol
_atom_site_fract_x
_atom_site_fract_y
_atom_site_fract_z
Li1 Li 0.000 0.000 0.000
Cu1 Cu 0.500 0.500 0.500
Tc1 Tc 0.000 0.500 0.500
P1 P 0.500 0.500 0.000
# - formation enthalpy at 0 K (eV/f.u.) = 6.584

---

[24]
# Li2YCu2P2, relaxed, DFT PBE
data_Li2YCu2P2
_cell_length_a 3.9684
_cell_length_b 3.9684
_cell_length_c 22.8353
_cell_angle_alpha 90.00
_cell_angle_beta 90.00
_cell_angle_gamma 120.00
_symmetry_space_group_name_H-M 'R -3 m'
_symmetry_Int_Tables_number 166
_symmetry_space_group_name_Hall '-R 3 2"'
loop_
_atom_site_label
_atom_site_type_symbol
_atom_site_fract_x
_atom_site_fract_y
_atom_site_fract_z
Li1 Li 0.0000 0.0000 0.1425
Y1 Y 0.0000 0.0000 0.0000
Cu1 Cu 0.0000 0.0000 0.4264
P1 P 0.0000 0.0000 0.2537
# - formation enthalpy at 0 K (eV/f.u.) = -5.411

---

no.,DFT total energy (eV per cell),total moment (μB per atom)
1,-74.9,0.0000
2,-14.0,0.0000
3,-36.3,0.0000
4,-41.7,0.0000
5,-42.2,0.0004
6,-72.2,0.0000
7,-98.8,0.0000
8,-30.5,0.0000
9,-72.8,0.0000
10,-99.0,0.0000
11,-74.8,0.0000
12,-27.7,0.0000
13,-80.2,0.0000
14,-122.3,0.0010
15,-72.1,0.0000
16,-102.4,0.0000
17,-158.3,0.0000
18,-108.8,0.0000
19,-98.9,0.0000
20,-16.8,0.0000
21,-16.2,0.0000
22,-45.3,0.0000
23,-25.6,0.9766
24,-104.1,0.0000